(1)
VASP calculation (GGA-PBE) on a geometry-optimized Cs3Np3ScSe8 structure.

Results
The value obtained for the density of states at the Fermi level is 27.1 states/eV/cell. The value obtained for the total energy is -6.366 eV per atom. Its magnetization is 11.0 μB per cell. The calculation puts the formation energy from raw total energies at -1326 meV/atom.

a = 9.786 Å, b = 9.786 Å, c = 9.786 Å
α = 50.74°, β = 50.74°, γ = 50.74°
Fractional positions:
Cs: 0.000 0.500 0.500
Cs: 0.500 0.000 0.500
Cs: 0.500 0.500 0.000
Np: 0.000 0.000 0.500
Np: 0.000 0.500 0.000
Np: 0.500 0.000 0.000
Sc: 0.500 0.500 0.500
Se: 0.228 0.228 0.228
Se: 0.237 0.720 0.720
Se: 0.280 0.280 0.763
Se: 0.280 0.763 0.280
Se: 0.720 0.237 0.720
Se: 0.720 0.720 0.237
Se: 0.763 0.280 0.280
Se: 0.772 0.772 0.772

(2)
VASP calculation (GGA-PBE) on a geometry-optimized La3Zn2Sn4 structure.

Results
The value obtained for the density of states at the Fermi level is 3.6 states/eV/cell. The calculation puts the energy of formation from the pure elements at -0.636 eV per atom. The value obtained for the total energy is -4.341 eV per atom. Its magnetization is 0.0 μB per cell.

a = 6.479 Å, b = 6.479 Å, c = 9.130 Å
α = 101.72°, β = 101.72°, γ = 41.58°
Fractional positions:
La: 0.000 0.000 0.000
La: 0.340 0.340 0.333
La: 0.660 0.660 0.667
Zn: 0.429 0.429 0.752
Zn: 0.571 0.571 0.248
Sn: 0.077 0.077 0.397
Sn: 0.274 0.274 0.918
Sn: 0.726 0.726 0.082
Sn: 0.923 0.923 0.603

(3)
VASP calculation (GGA-PBE) on a geometry-optimized LiInP2 structure.

Results
The value obtained for the density of states at the Fermi level is 3.6 states/eV/cell. The calculation puts the energy of formation from the pure elements at 0.267 eV per atom. The value obtained for the total energy is -3.601 eV per atom. Its magnetization is 0.0 μB per cell.

a = 4.635 Å, b = 4.635 Å, c = 4.635 Å
α = 60.00°, β = 60.00°, γ = 60.00°
Fractional positions:
Li: 0.000 0.000 0.000
In: 0.250 0.250 0.250
P: 0.500 0.500 0.500
P: 0.750 0.750 0.750

(4)
VASP calculation (GGA-PBE) on a geometry-optimized SrBiC structure.

Results
The value obtained for the density of states at the Fermi level is 1.3 states/eV/cell. The calculation puts the energy of formation from the pure elements at -0.154 eV per atom. The value obtained for the total energy is -5.083 eV per atom. Its magnetization is 0.0 μB per cell.

a = 5.386 Å, b = 5.386 Å, c = 8.982 Å
α = 115.89°, β = 115.89°, γ = 47.63°
Fractional positions:
Sr: 0.080 0.080 0.319
Sr: 0.920 0.920 0.681
Bi: 0.329 0.329 0.943
Bi: 0.671 0.671 0.057
C: 0.432 0.432 0.492
C: 0.568 0.568 0.508

(5)
VASP calculation (GGA-PBE) on a geometry-optimized ErIrO4 structure.

Results
The value obtained for the density of states at the Fermi level is 9.6 states/eV/cell. The value obtained for the total energy is -7.395 eV per atom. Its magnetization is 0.7 μB per cell. The calculation puts the formation energy from raw total energies at -1852 meV/atom.

a = 5.855 Å, b = 4.878 Å, c = 5.655 Å
α = 90.00°, β = 109.42°, γ = 90.00°
Fractional positions:
Er: 0.000 0.000 0.000
Er: 0.000 0.500 0.500
Ir: 0.500 0.000 0.500
Ir: 0.500 0.500 0.000
O: 0.171 0.155 0.385
O: 0.171 0.345 0.885
O: 0.377 0.709 0.672
O: 0.377 0.791 0.172
O: 0.623 0.209 0.828
O: 0.623 0.291 0.328
O: 0.829 0.655 0.115
O: 0.829 0.845 0.615

(6)
VASP calculation (GGA-PBE) on a geometry-optimized ScInRe structure.

Results
The value obtained for the density of states at the Fermi level is 3.2 states/eV/cell. The calculation puts the energy of formation from the pure elements at 0.046 eV per atom. The value obtained for the total energy is -7.126 eV per atom. Its magnetization is 0.0 μB per cell.

a = 5.327 Å, b = 5.327 Å, c = 5.327 Å
α = 142.24°, β = 142.24°, γ = 54.47°
Fractional positions:
Sc: 0.000 0.000 0.000
In: 0.689 0.689 0.000
Re: 0.351 0.351 0.000